# 1
Here is a geometry-optimized BeRu structure from Alexandria. Energies are from GGA-PBE.

Unit cell a=8.069 b=8.069 c=8.069 alpha=18.94 beta=18.94 gamma=18.94
Fractional coordinates of all 4 atoms:
Ru (0.254, 0.254, 0.254)
Ru (0.496, 0.496, 0.496)
Be (0.750, 0.750, 0.750)
Be (0.000, 0.000, 0.000)

Summary:
Total magnetic moment = 0.000 μB/atom
DOS at the Fermi energy = 2.053 states/eV/f.u.
DFT total energy = -6.309 eV per atom
Energy relative to the elements = 19 kJ/mol of atoms

***

# 2
Here is a geometry-optimized YZrNi2As structure from Alexandria. Energies are from GGA-PBE.

Unit cell a=4.422 b=5.194 c=4.422 alpha=90.00 beta=90.00 gamma=90.00
Fractional coordinates of all 5 atoms:
Ni (0.000, 0.000, 0.500)
Zr (0.500, 0.500, 0.500)
Ni (0.500, 0.000, 0.000)
Y (0.000, 0.500, 0.000)
As (0.000, 0.000, 0.000)

Summary:
Total magnetic moment = 0.000 μB/atom
DOS at the Fermi energy = 3.422 states/eV/f.u.
DFT total energy = -6.065 eV per atom
Energy relative to the elements = 17 kJ/mol of atoms

***

# 3
Here is a geometry-optimized Mg2ZnPt9 structure from Alexandria. Energies are from GGA-PBE.

Unit cell a=3.953 b=3.953 c=11.851 alpha=90.00 beta=90.00 gamma=90.00
Fractional coordinates of all 12 atoms:
Pt (0.500, 0.500, 0.332)
Pt (0.000, 0.500, 0.164)
Pt (0.000, 0.500, 0.836)
Pt (0.500, 0.500, 0.668)
Mg (0.000, 0.000, 0.669)
Pt (0.500, 0.000, 0.500)
Pt (0.500, 0.000, 0.164)
Zn (0.000, 0.000, 0.000)
Mg (0.000, 0.000, 0.331)
Pt (0.000, 0.500, 0.500)
Pt (0.500, 0.500, 0.000)
Pt (0.500, 0.000, 0.836)

Summary:
Total magnetic moment = 0.000 μB/atom
DOS at the Fermi energy = 10.786 states/eV/f.u.
DFT total energy = -5.415 eV per atom
Energy relative to the elements = -49 kJ/mol of atoms

***

# 4
Here is a geometry-optimized DyYSc2Se6 structure from Alexandria. Energies are from GGA-PBE.

Unit cell a=7.004 b=7.004 c=7.477 alpha=62.07 beta=62.07 gamma=60.00
Fractional coordinates of all 10 atoms:
Se (0.391, 0.739, 0.744)
Se (0.239, 0.891, 0.245)
Se (0.739, 0.125, 0.744)
Se (0.891, 0.626, 0.245)
Sc (0.510, 0.510, 0.471)
Sc (0.010, 0.010, 0.971)
Se (0.626, 0.239, 0.245)
Y (0.316, 0.316, 0.053)
Se (0.125, 0.391, 0.744)
Dy (0.816, 0.816, 0.553)

Summary:
Total magnetic moment = 0.000 μB/atom
DOS at the Fermi energy = 0.000 states/eV/f.u.
DFT total energy = -6.218 eV per atom
Formation energy from raw total energies = -1.754 eV per atom

***

# 5
Here is a geometry-optimized PmEr2Ga9 structure from Alexandria. Energies are from GGA-PBE.

Unit cell a=4.287 b=4.287 c=12.844 alpha=90.00 beta=90.00 gamma=90.00
Fractional coordinates of all 12 atoms:
Pm (0.000, 0.000, 0.000)
Ga (0.000, 0.500, 0.828)
Ga (0.000, 0.500, 0.172)
Ga (0.500, 0.500, 0.000)
Ga (0.500, 0.000, 0.828)
Ga (0.500, 0.000, 0.172)
Ga (0.500, 0.000, 0.500)
Ga (0.500, 0.500, 0.666)
Ga (0.500, 0.500, 0.334)
Er (0.000, 0.000, 0.336)
Ga (0.000, 0.500, 0.500)
Er (0.000, 0.000, 0.664)

Summary:
Total magnetic moment = 0.000 μB/atom
DOS at the Fermi energy = 5.002 states/eV/f.u.
DFT total energy = -3.952 eV per atom
Energy relative to the elements = -51 kJ/mol of atoms

***

# 6
Here is a geometry-optimized TbPaOs structure from Alexandria. Energies are from GGA-PBE.

Unit cell a=4.185 b=4.185 c=5.772 alpha=68.74 beta=68.74 gamma=60.00
Fractional coordinates of all 3 atoms:
Os (0.368, 0.368, 0.895)
Tb (0.599, 0.599, 0.204)
Pa (0.107, 0.107, 0.680)

Summary:
Total magnetic moment = 0.000 μB/atom
DOS at the Fermi energy = 3.628 states/eV/f.u.
Polymorph energy (0 for the lowest one) = 98.7 meV per atom
DFT total energy = -8.541 eV per atom
Energy relative to the elements = -9 kJ/mol of atoms

***

# 7
Here is a geometry-optimized Tb6Bi5H structure from Alexandria. Energies are from GGA-PBE.

Unit cell a=7.676 b=7.647 c=7.620 alpha=59.88 beta=80.35 gamma=70.48
Fractional coordinates of all 12 atoms:
Tb (0.244, 0.590, 0.329)
Tb (0.756, 0.081, 0.329)
Bi (0.000, 0.335, 0.330)
Bi (0.500, 0.171, 0.657)
Tb (0.756, 0.410, 0.671)
Bi (0.000, 0.665, 0.670)
Tb (0.244, 0.919, 0.671)
Bi (0.500, 0.829, 0.343)
Tb (0.258, 0.246, 0.000)
Bi (0.500, 0.500, 0.000)
H (0.000, 0.000, 0.000)
Tb (0.742, 0.754, 0.000)

Summary:
Total magnetic moment = 0.000 μB/atom
DOS at the Fermi energy = 4.541 states/eV/f.u.
DFT total energy = -4.870 eV per atom

***

# 8
Here is a geometry-optimized Eu2TmMg structure from Alexandria. Energies are from GGA-PBE.

Unit cell a=3.709 b=3.709 c=9.814 alpha=90.00 beta=90.00 gamma=90.00
Each line ends with the local moment (μB).
Fractional coordinates of all 4 atoms:
Eu (0.000, 0.000, 0.764)  6.93
Mg (0.500, 0.500, 0.000)  0.00
Tm (0.500, 0.500, 0.500)  0.48
Eu (0.000, 0.000, 0.236)  6.93

Summary:
Total magnetic moment = 3.840 μB/atom
DOS at the Fermi energy = 4.722 states/eV/f.u.
Polymorph energy (0 for the lowest one) = 0.0 meV per atom
DFT total energy = -6.604 eV per atom
Energy relative to the elements = 5 kJ/mol of atoms

***

# 9
Here is a geometry-optimized LaY4S5 structure from Alexandria. Energies are from GGA-PBE.

Unit cell a=3.953 b=5.622 c=10.523 alpha=105.49 beta=100.82 gamma=90.00
Fractional coordinates of all 10 atoms:
S (0.607, 0.107, 0.214)
Y (0.798, 0.798, 0.595)
S (0.000, 0.500, 0.000)
S (0.199, 0.699, 0.398)
S (0.801, 0.301, 0.602)
S (0.393, 0.893, 0.786)
Y (0.600, 0.600, 0.199)
Y (0.202, 0.202, 0.405)
La (0.000, 0.000, 0.000)
Y (0.400, 0.400, 0.801)

Summary:
Total magnetic moment = 0.000 μB/atom
DOS at the Fermi energy = 5.263 states/eV/f.u.
DFT total energy = -7.159 eV per atom
Formation energy from raw total energies = -2.017 eV per atom

***

# 10
Here is a geometry-optimized Ga6IrPd3 structure from Alexandria. Energies are from GGA-PBE.

Unit cell a=6.787 b=6.403 c=8.036 alpha=90.00 beta=81.82 gamma=90.00
Fractional coordinates of all 20 atoms:
Ga (0.338, 0.870, 0.057)
Ga (0.719, 0.486, 0.226)
Ga (0.652, 0.171, 0.586)
Ga (0.281, 0.514, 0.774)
Ir (0.000, 0.000, 0.000)
Pd (0.500, 0.500, 0.000)
Ga (0.348, 0.829, 0.414)
Ir (0.500, 0.500, 0.500)
Ga (0.838, 0.630, 0.557)
Ga (0.848, 0.671, 0.914)
Ga (0.662, 0.130, 0.943)
Ga (0.152, 0.329, 0.086)
Ga (0.781, 0.986, 0.274)
Ga (0.219, 0.014, 0.726)
Ga (0.162, 0.370, 0.443)
Pd (0.454, 0.168, 0.249)
Pd (0.954, 0.332, 0.749)
Pd (0.000, 0.000, 0.500)
Pd (0.046, 0.668, 0.251)
Pd (0.546, 0.832, 0.751)

Summary:
Total magnetic moment = 0.000 μB/atom
DOS at the Fermi energy = 3.865 states/eV/f.u.
DFT total energy = -4.640 eV per atom
Energy relative to the elements = -37 kJ/mol of atoms

***

# 11
Here is a geometry-optimized BaRe2Hg structure from Alexandria. Energies are from GGA-PBE.

Unit cell a=6.151 b=6.151 c=6.151 alpha=146.24 beta=125.19 gamma=65.94
Fractional coordinates of all 4 atoms:
Re (0.034, 0.034, 0.000)
Re (0.182, 0.682, 0.500)
Ba (0.492, 0.492, 0.000)
Hg (0.791, 0.291, 0.500)

Summary:
Total magnetic moment = 0.000 μB/atom
DOS at the Fermi energy = 4.801 states/eV/f.u.
DFT total energy = -5.873 eV per atom
Energy relative to the elements = 88 kJ/mol of atoms

***

# 12
Here is a geometry-optimized TiGa4Co7 structure from Alexandria. Energies are from GGA-PBE.

Unit cell a=4.323 b=8.170 c=5.078 alpha=82.60 beta=64.80 gamma=74.66
Each line ends with the local moment (μB).
Fractional coordinates of all 12 atoms:
Co (0.500, 0.000, 0.000)  -0.11
Ga (0.278, 0.306, 0.138)  -0.03
Co (0.348, 0.531, 0.774)  1.30
Ga (0.722, 0.694, 0.862)  -0.03
Ga (0.402, 0.778, 0.417)  -0.03
Co (0.030, 0.619, 0.321)  1.54
Ga (0.598, 0.222, 0.583)  -0.03
Co (0.207, 0.083, 0.503)  0.70
Co (0.793, 0.917, 0.497)  0.70
Co (0.652, 0.469, 0.226)  1.30
Ti (0.000, 0.000, 0.000)  -0.14
Co (0.970, 0.381, 0.679)  1.54

Summary:
Total magnetic moment = 0.549 μB/atom
DOS at the Fermi energy = 13.731 states/eV/f.u.
DFT total energy = -5.800 eV per atom
Energy relative to the elements = 1 kJ/mol of atoms

***

Number 11 is which compound? BaRe2Hg

***

Which value of total magnetic moment does entry 9 give? 0.000 μB/atom

***

Among the records above, which one has the highest DOS at the Fermi energy? TiGa4Co7